Li2LaPbN | GGA-PBE | relaxed

Lattice parameters (Å, degrees): 3.5945 7.7542 7.1498 90.00 90.00 103.40
Atoms (fractional coordinates):
1 Pb 0.7495 0.4991 0.7500
2 La 0.5351 0.0702 0.2500
3 Li 0.8718 0.7436 0.0601
4 Pb 0.2505 0.5009 0.2500
5 N 0.0000 0.0000 0.5000
6 La 0.4649 0.9298 0.7500
7 Li 0.8718 0.7436 0.4399
8 Li 0.1282 0.2564 0.9399
9 N 0.0000 0.0000 0.0000
10 Li 0.1282 0.2564 0.5601

Values from the calculation:
Space group: Cmcm, No. 63
Polymorph energy (0 for the lowest one) (meV per atom): 0.0



LiLa2PbN | GGA-PBE | relaxed

Lattice parameters (Å, degrees): 5.1074 5.1074 4.5855 90.00 90.00 90.00
Atoms (fractional coordinates):
1 Pb 0.5000 0.5000 0.5000
2 N 0.0000 0.0000 0.0000
3 La 0.0000 0.5000 0.0000
4 Li 0.0000 0.0000 0.5000
5 La 0.5000 0.0000 0.0000

Values from the calculation:
Space group: P4/mmm, No. 123



LiLaPdN | GGA-PBE | relaxed

Lattice parameters (Å, degrees): 3.5686 3.5686 6.0808 107.06 107.06 90.00
Atoms (fractional coordinates):
1 La 0.7446 0.7446 0.4891
2 Li 0.0423 0.0423 0.0846
3 Pd 0.4246 0.4246 0.8491
4 N 0.2190 0.2190 0.4379

Values from the calculation:
Space group: I4mm, No. 107



So what do the calculations give for uncorrected formation energy? Going down the list: -674.0, -844.1, -674.1 meV per atom.